1.
# CsRb2GaF6 (GGA-PBEsol, relaxed)
data_CsRb2GaF6
_chemical_formula_sum 'Cs4 Rb8 Ga4 F24'
_symmetry_space_group_name_H-M 'F m -3 m'
_symmetry_Int_Tables_number 225
_symmetry_space_group_name_Hall '-F 4 2 3'
_cell_length_a 9.227
_cell_length_b 9.227
_cell_length_c 9.227
_cell_angle_alpha 90.00
_cell_angle_beta 90.00
_cell_angle_gamma 90.00
loop_
_atom_site_label
_atom_site_type_symbol
_atom_site_fract_x
_atom_site_fract_y
_atom_site_fract_z
Cs1 Cs 0.000 0.000 0.000
Rb1 Rb 0.250 0.250 0.250
Ga1 Ga 0.000 0.000 0.500
F1 F 0.000 0.000 0.294
# - Crystal system: cubic
# - Formation energy from raw total energies: -2.7610 eV per atom

2.
# HfSc2TlSn (GGA-PBEsol, relaxed)
data_HfSc2TlSn
_chemical_formula_sum 'Hf1 Sc2 Tl1 Sn1'
_symmetry_space_group_name_H-M 'P 4/m m m'
_symmetry_Int_Tables_number 123
_symmetry_space_group_name_Hall '-P 4 2'
_cell_length_a 5.197
_cell_length_b 5.197
_cell_length_c 5.251
_cell_angle_alpha 90.00
_cell_angle_beta 90.00
_cell_angle_gamma 90.00
loop_
_atom_site_label
_atom_site_type_symbol
_atom_site_fract_x
_atom_site_fract_y
_atom_site_fract_z
Hf1 Hf 0.000 0.000 0.000
Sc1 Sc 0.000 0.500 0.500
Tl1 Tl 0.500 0.500 0.000
Sn1 Sn 0.000 0.000 0.500
# - Crystal system: tetragonal
# - Energy of formation from the pure elements: 0.42 eV per atom

3.
# Ca6ScCo3O12 (GGA-PBEsol, relaxed)
data_Ca6ScCo3O12
_chemical_formula_sum 'Ca18 Sc3 Co9 O36'
_symmetry_space_group_name_H-M 'R 3 2'
_symmetry_Int_Tables_number 155
_symmetry_space_group_name_Hall 'R 3 2"'
_cell_length_a 9.0393
_cell_length_b 9.0393
_cell_length_c 10.4016
_cell_angle_alpha 90.00
_cell_angle_beta 90.00
_cell_angle_gamma 120.00
loop_
_atom_site_label
_atom_site_type_symbol
_atom_site_fract_x
_atom_site_fract_y
_atom_site_fract_z
Ca1 Ca 0.0000 0.3710 0.0000
Ca2 Ca 0.0000 0.6344 0.5000
Sc1 Sc 0.0000 0.0000 0.0000
Co1 Co 0.0000 0.0000 0.2518
Co2 Co 0.0000 0.0000 0.5000
O1 O 0.0237 0.1788 0.1389
O2 O 0.0238 0.8475 0.6381
# - Crystal system: trigonal
# - Formation energy from raw total energies: -2.4275 eV per atom

4.
# CdPBrO2 (GGA-PBEsol, relaxed)
data_CdPBrO2
_chemical_formula_sum 'Cd1 P1 Br1 O2'
_symmetry_space_group_name_H-M 'P 4/m m m'
_symmetry_Int_Tables_number 123
_symmetry_space_group_name_Hall '-P 4 2'
_cell_length_a 4.008
_cell_length_b 4.008
_cell_length_c 5.625
_cell_angle_alpha 90.00
_cell_angle_beta 90.00
_cell_angle_gamma 90.00
loop_
_atom_site_label
_atom_site_type_symbol
_atom_site_fract_x
_atom_site_fract_y
_atom_site_fract_z
Cd1 Cd 0.000 0.000 0.000
P1 P 0.000 0.000 0.500
Br1 Br 0.500 0.500 0.500
O1 O 0.000 0.500 0.000
# - Crystal system: tetragonal
# - Formation energy from raw total energies: 0.5893 eV per atom

5.
# Rb2HBr (GGA-PBEsol, relaxed)
data_Rb2HBr
_chemical_formula_sum 'Rb8 H4 Br4'
_symmetry_space_group_name_H-M 'I -4 2 d'
_symmetry_Int_Tables_number 122
_symmetry_space_group_name_Hall 'I -4 2bw'
_cell_length_a 7.972
_cell_length_b 7.972
_cell_length_c 8.831
_cell_angle_alpha 90.00
_cell_angle_beta 90.00
_cell_angle_gamma 90.00
loop_
_atom_site_label
_atom_site_type_symbol
_atom_site_fract_x
_atom_site_fract_y
_atom_site_fract_z
Rb1 Rb 0.193 0.250 0.125
H1 H 0.000 0.000 0.000
Br1 Br 0.000 0.000 0.500
# - Crystal system: tetragonal
# - Excess energy over the best structure of this formula in the dataset: 0 meV per atom

6.
# RbNb2Se2 (GGA-PBEsol, relaxed)
data_RbNb2Se2
_chemical_formula_sum 'Rb2 Nb4 Se4'
_symmetry_space_group_name_H-M 'I 4/m m m'
_symmetry_Int_Tables_number 139
_symmetry_space_group_name_Hall '-I 4 2'
_cell_length_a 3.930
_cell_length_b 3.930
_cell_length_c 15.364
_cell_angle_alpha 90.00
_cell_angle_beta 90.00
_cell_angle_gamma 90.00
loop_
_atom_site_label
_atom_site_type_symbol
_atom_site_fract_x
_atom_site_fract_y
_atom_site_fract_z
Rb1 Rb 0.000 0.000 0.000
Nb1 Nb 0.000 0.500 0.250
Se1 Se 0.000 0.000 0.367
# - Crystal system: tetragonal
# - Formation energy from raw total energies: -0.7882 eV per atom

7.
# YAg2Au (GGA-PBEsol, relaxed)
data_YAg2Au
_chemical_formula_sum 'Y4 Ag8 Au4'
_symmetry_space_group_name_H-M 'F -4 3 m'
_symmetry_Int_Tables_number 216
_symmetry_space_group_name_Hall 'F -4 2 3'
_cell_length_a 6.771
_cell_length_b 6.771
_cell_length_c 6.771
_cell_angle_alpha 90.00
_cell_angle_beta 90.00
_cell_angle_gamma 90.00
loop_
_atom_site_label
_atom_site_type_symbol
_atom_site_fract_x
_atom_site_fract_y
_atom_site_fract_z
Y1 Y 0.000 0.000 0.000
Ag1 Ag 0.000 0.000 0.500
Ag2 Ag 0.250 0.250 0.750
Au1 Au 0.250 0.250 0.250
# - Crystal system: cubic
# - Energy of formation from the pure elements: -0.43 eV per atom
# - Excess energy over the best structure of this formula in the dataset: 0 meV per atom

8.
# Tb6Al3Si (GGA-PBEsol, relaxed)
data_Tb6Al3Si
_chemical_formula_sum 'Tb48 Al24 Si8'
_symmetry_space_group_name_H-M 'I 4/m c m'
_symmetry_Int_Tables_number 140
_symmetry_space_group_name_Hall '-I 4 2c'
_cell_length_a 11.444
_cell_length_b 11.444
_cell_length_c 15.161
_cell_angle_alpha 90.00
_cell_angle_beta 90.00
_cell_angle_gamma 90.00
loop_
_atom_site_label
_atom_site_type_symbol
_atom_site_fract_x
_atom_site_fract_y
_atom_site_fract_z
Tb1 Tb 0.000 0.500 0.149
Tb2 Tb 0.063 0.195 0.134
Tb3 Tb 0.169 0.331 0.500
Al1 Al 0.120 0.380 0.000
Al2 Al 0.178 0.322 0.295
Si1 Si 0.000 0.000 0.000
Si2 Si 0.000 0.000 0.250
# - Crystal system: tetragonal
# - Formation energy from raw total energies: -0.3950 eV per atom

What did the first record say?
# CsRb2GaF6 (GGA-PBEsol, relaxed)
data_CsRb2GaF6
_chemical_formula_sum 'Cs4 Rb8 Ga4 F24'
_symmetry_space_group_name_H-M 'F m -3 m'
_symmetry_Int_Tables_number 225
_symmetry_space_group_name_Hall '-F 4 2 3'
_cell_length_a 9.227
_cell_length_b 9.227
_cell_length_c 9.227
_cell_angle_alpha 90.00
_cell_angle_beta 90.00
_cell_angle_gamma 90.00
loop_
_atom_site_label
_atom_site_type_symbol
_atom_site_fract_x
_atom_site_fract_y
_atom_site_fract_z
Cs1 Cs 0.000 0.000 0.000
Rb1 Rb 0.250 0.250 0.250
Ga1 Ga 0.000 0.000 0.500
F1 F 0.000 0.000 0.294
# - Crystal system: cubic
# - Formation energy from raw total energies: -2.7610 eV per atom